The following is a PBE calculation of an optimized crystal structure of Mg2ZrRu2, from the Alexandria database.

Calculated values
Crystal system: tetragonal
Energy (eV/cell): -29.50
Formation energy from the elements (eV per atom): 0.1587

Cell lengths 7.141, 7.141, 7.141 Å; angles 150.29, 150.29, 42.51 degrees
Fractional coordinates of all 5 atoms:
1 Mg 0.250 0.750 0.500
2 Mg 0.750 0.250 0.500
3 Zr 0.000 0.000 0.000
4 Ru 0.398 0.398 0.000
5 Ru 0.602 0.602 0.000